Entry 1:
Material: CaAlCd
Method: DFT, PBE
State: optimized geometry

Space group = Imma
DOS at the Fermi energy = 1.56 states/eV/f.u.

CIF file:
```
data_CaAlCd
_symmetry_space_group_name_H-M 'P 1'
_symmetry_Int_Tables_number 1
_cell_length_a 5.8369
_cell_length_b 5.8369
_cell_length_c 5.8369
_cell_angle_alpha 121.03
_cell_angle_beta 119.00
_cell_angle_gamma 89.98
loop_
_symmetry_equiv_pos_as_xyz
'x,y,z'
loop_
_atom_site_label
_atom_site_fract_x
_atom_site_fract_y
_atom_site_fract_z
Ca1 0.3712 0.1212 0.2500
Ca2 0.6288 0.8788 0.7500
Al1 0.0000 0.0000 0.5000
Al2 0.0000 0.5000 0.0000
Cd1 0.0000 0.5000 0.5000
Cd2 0.5000 0.5000 0.0000
```



Entry 2:
Material: Ca2TlAs
Method: DFT, PBE
State: optimized geometry

Space group = Imm2
DOS at the Fermi energy = 2.61 states/eV/f.u.
Relative energy among the computed polymorphs = 113 meV per atom

CIF file:
```
data_Ca2TlAs
_symmetry_space_group_name_H-M 'P 1'
_symmetry_Int_Tables_number 1
_cell_length_a 7.1454
_cell_length_b 7.1454
_cell_length_c 7.1454
_cell_angle_alpha 148.23
_cell_angle_beta 142.16
_cell_angle_gamma 50.22
loop_
_symmetry_equiv_pos_as_xyz
'x,y,z'
loop_
_atom_site_label
_atom_site_fract_x
_atom_site_fract_y
_atom_site_fract_z
Ca1 0.0000 0.0000 0.0000
Ca2 0.7095 0.2095 0.5000
Tl1 0.3925 0.3925 0.0000
As1 0.1791 0.6791 0.5000
```



Entry 3:
Material: La3Pm3Sm5
Method: DFT, PBE
State: optimized geometry

Space group = P-62m
DOS at the Fermi energy = 17.23 states/eV/f.u.
Relative energy among the computed polymorphs = 383 meV per atom

CIF file:
```
data_La3Pm3Sm5
_symmetry_space_group_name_H-M 'P 1'
_symmetry_Int_Tables_number 1
_cell_length_a 9.7327
_cell_length_b 9.7327
_cell_length_c 5.4797
_cell_angle_alpha 90.00
_cell_angle_beta 90.00
_cell_angle_gamma 120.00
loop_
_symmetry_equiv_pos_as_xyz
'x,y,z'
loop_
_atom_site_label
_atom_site_fract_x
_atom_site_fract_y
_atom_site_fract_z
La1 0.0000 0.3616 0.0000
La2 0.3616 0.0000 0.0000
La3 0.6384 0.6384 0.0000
Pm1 0.0000 0.5071 0.5000
Pm2 0.4929 0.4929 0.5000
Pm3 0.5071 0.0000 0.5000
Sm1 0.0000 0.7307 0.0000
Sm2 0.2693 0.2693 0.0000
Sm3 0.3333 0.6667 0.0000
Sm4 0.6667 0.3333 0.0000
Sm5 0.7307 0.0000 0.0000
```



Energy of formation from the pure elements / eV per atom: -0.2796, -0.6016, 0.6960